[1]
First-principles (PBE-GGA) data for a relaxed ZnCr2Pt crystal, as listed in the Alexandria database.

Results
Final energy: -6.65 eV per atom
Total magnetization: 0.00 μB/f.u.
Formation energy: -9 meV per atom
N(E_F): 7.4 states/eV/cell

Geometry as CIF:
```
data_ZnCr2Pt
_symmetry_space_group_name_H-M 'I 4/m m m'
_symmetry_Int_Tables_number 139
_symmetry_space_group_name_Hall '-I 4 2'
_cell_length_a 3.5589
_cell_length_b 3.5589
_cell_length_c 8.3059
_cell_angle_alpha 90.00
_cell_angle_beta 90.00
_cell_angle_gamma 90.00
loop_
_atom_site_label
_atom_site_type_symbol
_atom_site_fract_x
_atom_site_fract_y
_atom_site_fract_z
_atom_site_occupancy
Zn1 Zn 0.0000 0.0000 0.0000 1
Cr1 Cr 0.0000 0.5000 0.2500 1
Pt1 Pt 0.0000 0.0000 0.5000 1
```

[2]
First-principles (PBE-GGA) data for a relaxed ZnCr2Pt crystal, as listed in the Alexandria database.

Results
Final energy: -6.61 eV per atom
Total magnetization: 0.00 μB/f.u.
Formation energy: 34 meV per atom
N(E_F): 3.7 states/eV/cell

Geometry as CIF:
```
data_ZnCr2Pt
_symmetry_space_group_name_H-M 'P 4/m m m'
_symmetry_Int_Tables_number 123
_symmetry_space_group_name_Hall '-P 4 2'
_cell_length_a 3.5685
_cell_length_b 3.5685
_cell_length_c 4.1507
_cell_angle_alpha 90.00
_cell_angle_beta 90.00
_cell_angle_gamma 90.00
loop_
_atom_site_label
_atom_site_type_symbol
_atom_site_fract_x
_atom_site_fract_y
_atom_site_fract_z
_atom_site_occupancy
Zn1 Zn 0.0000 0.0000 0.0000 1
Cr1 Cr 0.0000 0.5000 0.5000 1
Pt1 Pt 0.5000 0.5000 0.0000 1
```

[3]
First-principles (PBE-GGA) data for a relaxed Zn2CrPt8 crystal, as listed in the Alexandria database.

Results
Final energy: -5.79 eV per atom
Total magnetization: 2.97 μB/f.u.
Formation energy: -289 meV per atom
N(E_F): 22.1 states/eV/cell

Geometry as CIF:
```
data_Zn2CrPt8
_symmetry_space_group_name_H-M 'C 1 2/m 1'
_symmetry_Int_Tables_number 12
_cell_length_a 14.0511
_cell_length_b 3.9679
_cell_length_c 6.2390
_cell_angle_alpha 90.00
_cell_angle_beta 106.57
_cell_angle_gamma 90.00
loop_
_symmetry_equiv_pos_as_xyz
'x,y,z'
'-x,-y,-z'
'-x,y,-z'
'x,-y,z'
'x+1/2,y+1/2,z'
'-x+1/2,-y+1/2,-z'
'-x+1/2,y+1/2,-z'
'x+1/2,-y+1/2,z'
loop_
_atom_site_label
_atom_site_type_symbol
_atom_site_fract_x
_atom_site_fract_y
_atom_site_fract_z
_atom_site_occupancy
Zn1 Zn 0.2253 0.0000 0.1415 1
Cr1 Cr 0.0000 0.5000 0.5000 1
Pt1 Pt 0.0463 0.0000 0.2266 1
Pt2 Pt 0.0953 0.5000 0.9502 1
Pt3 Pt 0.1375 0.0000 0.6871 1
Pt4 Pt 0.1799 0.5000 0.4185 1
```

> Number 2 is which compound?

ZnCr2Pt

> Among the records above, which one has the highest final energy?

Zn2CrPt8